1.
This record from Alexandria via LeMat-Bulk describes crystalline NaLiGaSn at its relaxed geometry. The functional is GGA-PBE.

Lattice parameters (Å, degrees): 7.042 7.042 7.042 90.00 90.00 90.00
Space group F-43m (No. 216)
Symmetry-distinct sites (fractional):
Na (0.000, 0.000, 0.000) x4
Li (0.250, 0.250, 0.750) x4
Ga (0.250, 0.250, 0.250) x4
Sn (0.000, 0.000, 0.500) x4

ΔH_f (0 K)   -15.3 kJ/mol of atoms



2.
This record from Alexandria via LeMat-Bulk describes crystalline NaLiTa2Ga at its relaxed geometry. The functional is GGA-PBE.

Lattice parameters (Å, degrees): 4.871 4.871 3.946 90.00 90.00 90.00
Space group P4/mmm (No. 123)
Symmetry-distinct sites (fractional):
Na (0.000, 0.000, 0.000) x1
Li (0.000, 0.000, 0.500) x1
Ta (0.000, 0.500, 0.000) x2
Ga (0.500, 0.500, 0.500) x1

ΔH_f (0 K)   172.1 kJ/mol of atoms



3.
This record from Alexandria via LeMat-Bulk describes crystalline NaLiTbGa at its relaxed geometry. The functional is GGA-PBE.

Lattice parameters (Å, degrees): 7.148 7.148 7.148 90.00 90.00 90.00
Space group F-43m (No. 216)
Symmetry-distinct sites (fractional):
Na (0.000, 0.000, 0.000) x4
Li (0.250, 0.250, 0.250) x4
Tb (0.000, 0.000, 0.500) x4
Ga (0.250, 0.250, 0.750) x4

ΔH_f (0 K)   -9.2 kJ/mol of atoms



4.
This record from Alexandria via LeMat-Bulk describes crystalline NaLiGaTe2 at its relaxed geometry. The functional is GGA-PBE.

Lattice parameters (Å, degrees): 5.684 5.684 5.185 90.00 90.00 90.00
Space group P4/mmm (No. 123)
Symmetry-distinct sites (fractional):
Na (0.000, 0.000, 0.000) x1
Li (0.500, 0.500, 0.500) x1
Ga (0.000, 0.000, 0.500) x1
Te (0.000, 0.500, 0.000) x2

Formation energy without anion corrections   0.07 eV per atom



E: -2.72 -4.21 -2.82 -2.44 (eV/atom)